#1
{"formula": "LiCoPO4", "functional": "GGA-PBEsol", "state": "optimized geometry", "dos_ef_per_ev_cell": 6.5, "spacegroup": "R-3, No. 148", "rho_kg_m3": 3490, "magnetic_moment_mub_per_cell": 6.0, "cell": [[2.371, 1.369, 7.861], [-2.371, 1.369, 7.861], [0.000, -2.738, 7.861]], "species": ["Li", "Li", "Co", "Co", "P", "P", "O", "O", "O", "O", "O", "O", "O", "O"], "fractional_positions": [[0.217, 0.217, 0.217], [0.783, 0.783, 0.783], [0.337, 0.337, 0.337], [0.663, 0.663, 0.663], [0.076, 0.076, 0.076], [0.924, 0.924, 0.924], [0.038, 0.372, 0.750], [0.140, 0.140, 0.140], [0.250, 0.962, 0.628], [0.372, 0.750, 0.038], [0.628, 0.250, 0.962], [0.750, 0.038, 0.372], [0.860, 0.860, 0.860], [0.962, 0.628, 0.250]]}

---

#2
{"formula": "LiCoPO4", "functional": "GGA-PBEsol", "state": "optimized geometry", "dos_ef_per_ev_cell": 3.1, "spacegroup": "C2, No. 5", "rho_kg_m3": 3494, "magnetic_moment_mub_per_cell": 6.0, "cell": [[4.562, -2.347, 0.000], [4.562, 2.347, 0.000], [-1.894, 0.000, 7.140]], "species": ["Li", "Li", "Co", "Co", "P", "P", "O", "O", "O", "O", "O", "O", "O", "O"], "fractional_positions": [[0.000, 0.000, 0.000], [0.939, 0.061, 0.500], [0.280, 0.393, 0.698], [0.607, 0.720, 0.302], [0.227, 0.439, 0.265], [0.561, 0.773, 0.735], [0.091, 0.601, 0.459], [0.250, 0.671, 0.179], [0.329, 0.750, 0.821], [0.399, 0.909, 0.541], [0.567, 0.128, 0.294], [0.621, 0.031, 0.850], [0.872, 0.433, 0.706], [0.969, 0.379, 0.150]]}

---

Stability, highest: #1

---

#1
{"formula": "LiCu2Pt", "functional": "GGA-PBEsol", "state": "optimized geometry", "dos_ef_per_ev_cell": 1.2, "spacegroup": "Fm-3m, No. 225", "rho_kg_m3": 10889, "magnetic_moment_mub_per_cell": 0.0, "cell": [[0.000, 2.928, 2.928], [2.928, 0.000, 2.928], [2.928, 2.928, 0.000]], "species": ["Li", "Cu", "Cu", "Pt"], "fractional_positions": [[0.000, 0.000, 0.000], [0.250, 0.250, 0.250], [0.750, 0.750, 0.750], [0.500, 0.500, 0.500]]}

---

#2
{"formula": "LiCu2Pt", "functional": "GGA-PBEsol", "state": "optimized geometry", "dos_ef_per_ev_cell": 1.5, "spacegroup": "I4/mmm, No. 139", "rho_kg_m3": 11057, "magnetic_moment_mub_per_cell": 0.0, "cell": [[-1.852, 1.852, 3.602], [1.852, -1.852, 3.602], [1.852, 1.852, -3.602]], "species": ["Li", "Cu", "Cu", "Pt"], "fractional_positions": [[0.000, 0.000, 0.000], [0.250, 0.750, 0.500], [0.750, 0.250, 0.500], [0.500, 0.500, 0.000]]}

---

Stability, highest: #2

---

#1
{"formula": "TcMo2W", "functional": "GGA-PBEsol", "state": "optimized geometry", "dos_ef_per_ev_cell": 3.6, "spacegroup": "Cmmm, No. 65", "rho_kg_m3": 13028, "magnetic_moment_mub_per_cell": 0.0, "cell": [[1.559, -2.207, 0.000], [1.559, 2.207, 0.000], [0.000, 0.000, 8.772]], "species": ["Tc", "Mo", "Mo", "W"], "fractional_positions": [[0.000, 0.000, 0.000], [0.500, 0.500, 0.247], [0.500, 0.500, 0.753], [0.000, 0.000, 0.500]]}

---

#2
{"formula": "TcMo2W", "functional": "GGA-PBEsol", "state": "optimized geometry", "dos_ef_per_ev_cell": 4.4, "spacegroup": "P4/mmm, No. 123", "rho_kg_m3": 12927, "magnetic_moment_mub_per_cell": 0.0, "cell": [[3.912, 0.000, 0.000], [0.000, 3.912, 0.000], [0.000, 0.000, 3.977]], "species": ["Tc", "Mo", "Mo", "W"], "fractional_positions": [[0.000, 0.000, 0.000], [0.000, 0.500, 0.500], [0.500, 0.000, 0.500], [0.500, 0.500, 0.000]]}

---

Stability, highest: #1

---

#1
{"formula": "Al4Ag", "functional": "GGA-PBEsol", "state": "optimized geometry", "dos_ef_per_ev_cell": 1.7, "spacegroup": "R-3m, No. 166", "rho_kg_m3": 4418, "magnetic_moment_mub_per_cell": 0.0, "cell": [[1.442, 0.832, 11.265], [-1.442, 0.832, 11.265], [0.000, -1.665, 11.265]], "species": ["Al", "Al", "Al", "Al", "Ag"], "fractional_positions": [[0.101, 0.101, 0.101], [0.300, 0.300, 0.300], [0.700, 0.700, 0.700], [0.899, 0.899, 0.899], [0.500, 0.500, 0.500]]}

---

#2
{"formula": "Al4Ag", "functional": "GGA-PBEsol", "state": "optimized geometry", "dos_ef_per_ev_cell": 2.0, "spacegroup": "Immm, No. 71", "rho_kg_m3": 4405, "magnetic_moment_mub_per_cell": 0.0, "cell": [[-1.418, 2.023, 7.089], [1.418, -2.023, 7.089], [1.418, 2.023, -7.089]], "species": ["Al", "Al", "Al", "Al", "Ag"], "fractional_positions": [[0.101, 0.101, 0.000], [0.298, 0.298, 0.000], [0.702, 0.702, 0.000], [0.899, 0.899, 0.000], [0.500, 0.500, 0.000]]}

---

Stability, highest: #1

---

#1
{"formula": "CaGaAs2Se", "functional": "GGA-PBEsol", "state": "optimized geometry", "dos_ef_per_ev_cell": 5.1, "spacegroup": "P4/mmm, No. 123", "rho_kg_m3": 4680, "magnetic_moment_mub_per_cell": 0.0, "cell": [[4.846, 0.000, 0.000], [0.000, 4.846, 0.000], [0.000, 0.000, 5.116]], "species": ["Ca", "Ga", "As", "As", "Se"], "fractional_positions": [[0.000, 0.000, 0.000], [0.500, 0.500, 0.500], [0.000, 0.500, 0.500], [0.500, 0.000, 0.500], [0.500, 0.500, 0.000]]}

---

#2
{"formula": "CaGaAs2Se", "functional": "GGA-PBEsol", "state": "optimized geometry", "dos_ef_per_ev_cell": 4.6, "spacegroup": "P4/mmm, No. 123", "rho_kg_m3": 3783, "magnetic_moment_mub_per_cell": 0.0, "cell": [[5.303, 0.000, 0.000], [0.000, 5.303, 0.000], [0.000, 0.000, 5.286]], "species": ["Ca", "Ga", "As", "As", "Se"], "fractional_positions": [[0.000, 0.000, 0.000], [0.500, 0.500, 0.500], [0.000, 0.500, 0.000], [0.500, 0.000, 0.000], [0.000, 0.000, 0.500]]}

---

Stability, highest: #1

---

#1
{"formula": "TlTc2Ru", "functional": "GGA-PBEsol", "state": "optimized geometry", "dos_ef_per_ev_cell": 4.4, "spacegroup": "Cmmm, No. 65", "rho_kg_m3": 13094, "magnetic_moment_mub_per_cell": 0.0, "cell": [[1.449, -2.378, 0.000], [1.449, 2.378, 0.000], [0.000, 0.000, 9.230]], "species": ["Tl", "Tc", "Tc", "Ru"], "fractional_positions": [[0.000, 0.000, 0.000], [0.500, 0.500, 0.269], [0.500, 0.500, 0.731], [0.000, 0.000, 0.500]]}

---

#2
{"formula": "TlTc2Ru", "functional": "GGA-PBEsol", "state": "optimized geometry", "dos_ef_per_ev_cell": 4.9, "spacegroup": "Cmm2, No. 35", "rho_kg_m3": 13085, "magnetic_moment_mub_per_cell": 0.0, "cell": [[1.462, -2.387, 0.000], [1.462, 2.387, 0.000], [0.000, 0.000, 9.114]], "species": ["Tl", "Tc", "Tc", "Ru"], "fractional_positions": [[0.000, 0.000, 0.000], [0.000, 0.000, 0.502], [0.500, 0.500, 0.274], [0.500, 0.500, 0.736]]}

---

Stability, highest: #2

---

#1
{"formula": "YBeAu3", "functional": "GGA-PBEsol", "state": "optimized geometry", "dos_ef_per_ev_cell": 3.7, "spacegroup": "P2_1/m, No. 11", "rho_kg_m3": 13122, "magnetic_moment_mub_per_cell": 0.0, "cell": [[5.316, 0.000, 0.000], [0.000, 5.727, 0.000], [-0.570, 0.000, 5.726]], "species": ["Y", "Y", "Be", "Be", "Au", "Au", "Au", "Au", "Au", "Au"], "fractional_positions": [[0.180, 0.250, 0.172], [0.820, 0.750, 0.828], [0.068, 0.750, 0.367], [0.932, 0.250, 0.633], [0.286, 0.501, 0.646], [0.286, 0.999, 0.646], [0.331, 0.750, 0.080], [0.669, 0.250, 0.920], [0.714, 0.001, 0.354], [0.714, 0.499, 0.354]]}

---

#2
{"formula": "YBeAu3", "functional": "GGA-PBEsol", "state": "optimized geometry", "dos_ef_per_ev_cell": 2.1, "spacegroup": "Pm-3m, No. 221", "rho_kg_m3": 12676, "magnetic_moment_mub_per_cell": 0.0, "cell": [[4.485, 0.000, 0.000], [0.000, 4.485, 0.000], [0.000, 0.000, 4.485]], "species": ["Y", "Be", "Au", "Au", "Au"], "fractional_positions": [[0.000, 0.000, 0.000], [0.500, 0.500, 0.500], [0.000, 0.500, 0.500], [0.500, 0.000, 0.500], [0.500, 0.500, 0.000]]}

---

Stability, highest: #1

---

#1
{"formula": "YFeCl2", "functional": "GGA-PBEsol", "state": "optimized geometry", "dos_ef_per_ev_cell": 6.7, "spacegroup": "F-43m, No. 216", "rho_kg_m3": 4590, "magnetic_moment_mub_per_cell": 3.0, "cell": [[0.000, 3.391, 3.391], [3.391, 0.000, 3.391], [3.391, 3.391, 0.000]], "species": ["Y", "Fe", "Cl", "Cl"], "fractional_positions": [[0.000, 0.000, 0.000], [0.750, 0.750, 0.750], [0.250, 0.250, 0.250], [0.500, 0.500, 0.500]]}

---

#2
{"formula": "YFeCl2", "functional": "GGA-PBEsol", "state": "optimized geometry", "dos_ef_per_ev_cell": 3.0, "spacegroup": "Pm, No. 6", "rho_kg_m3": 4148, "magnetic_moment_mub_per_cell": 3.0, "cell": [[3.443, 0.000, 0.000], [0.000, 3.369, 0.000], [-1.704, 0.000, 7.442]], "species": ["Y", "Fe", "Cl", "Cl"], "fractional_positions": [[0.000, 0.000, 0.000], [0.378, 0.500, 0.754], [0.136, 0.500, 0.269], [0.817, 0.000, 0.631]]}

---

Stability, highest: #2

---

#1
{"formula": "Na3CaB", "functional": "GGA-PBEsol", "state": "optimized geometry", "dos_ef_per_ev_cell": 4.1, "spacegroup": "Pm-3m, No. 221", "rho_kg_m3": 1402, "magnetic_moment_mub_per_cell": 0.2, "cell": [[5.217, 0.000, 0.000], [0.000, 5.217, 0.000], [0.000, 0.000, 5.217]], "species": ["Na", "Na", "Na", "Ca", "B"], "fractional_positions": [[0.000, 0.000, 0.500], [0.000, 0.500, 0.000], [0.500, 0.000, 0.000], [0.500, 0.500, 0.500], [0.000, 0.000, 0.000]]}

---

#2
{"formula": "Na3CaB", "functional": "GGA-PBEsol", "state": "optimized geometry", "dos_ef_per_ev_cell": 4.9, "spacegroup": "Pm-3m, No. 221", "rho_kg_m3": 826, "magnetic_moment_mub_per_cell": 0.2, "cell": [[6.222, 0.000, 0.000], [0.000, 6.222, 0.000], [0.000, 0.000, 6.222]], "species": ["Na", "Na", "Na", "Ca", "B"], "fractional_positions": [[0.000, 0.000, 0.500], [0.000, 0.500, 0.000], [0.500, 0.000, 0.000], [0.000, 0.000, 0.000], [0.500, 0.500, 0.500]]}

---

Stability, highest: #1

---

#1
{"formula": "FeMoW2", "functional": "GGA-PBEsol", "state": "optimized geometry", "dos_ef_per_ev_cell": 2.8, "spacegroup": "Cmmm, No. 65", "rho_kg_m3": 14913, "magnetic_moment_mub_per_cell": 1.9, "cell": [[1.565, -2.168, 0.000], [1.565, 2.168, 0.000], [0.000, 0.000, 8.525]], "species": ["Fe", "Mo", "W", "W"], "fractional_positions": [[0.000, 0.000, 0.000], [0.000, 0.000, 0.500], [0.500, 0.500, 0.237], [0.500, 0.500, 0.763]]}

---

#2
{"formula": "FeMoW2", "functional": "GGA-PBEsol", "state": "optimized geometry", "dos_ef_per_ev_cell": 3.1, "spacegroup": "C2/m, No. 12", "rho_kg_m3": 14792, "magnetic_moment_mub_per_cell": 2.2, "cell": [[2.680, -4.350, 0.000], [2.680, 4.350, 0.000], [-0.898, 0.000, 2.501]], "species": ["Fe", "Mo", "W", "W"], "fractional_positions": [[0.000, 0.000, 0.000], [0.500, 0.500, 0.000], [0.000, 0.500, 0.500], [0.500, 0.000, 0.500]]}

---

Stability, highest: #1